Entry from Alexandria: a geometry-optimized GaCuO2 structure (PBE).

Structure (POSCAR):
```
GaCuO2
1.0
4.6976 0.0000 0.0000
0.0000 4.6976 0.0000
0.0000 0.0000 8.8105
Ga Cu O
4 4 8
Direct
0.0000 0.0000 0.0000 Ga
0.0000 0.5000 0.2500 Ga
0.5000 0.0000 0.7500 Ga
0.5000 0.5000 0.5000 Ga
0.0000 0.0000 0.5000 Cu
0.0000 0.5000 0.7500 Cu
0.5000 0.0000 0.2500 Cu
0.5000 0.5000 0.0000 Cu
0.2076 0.2500 0.1250 O
0.2500 0.7076 0.3750 O
0.2500 0.7924 0.8750 O
0.2924 0.2500 0.6250 O
0.7076 0.7500 0.6250 O
0.7500 0.2076 0.8750 O
0.7500 0.2924 0.3750 O
0.7924 0.7500 0.1250 O
```

Summary:
For the mass density, the calculation gives 5.65 g/cm3. The calculation puts the total moment at 0.0000 μB per atom. The value obtained for the uncorrected formation energy is -1.18 eV per atom.